No. 1
Material: Rb2Pb3Au
Method: DFT, PBE
State: optimized geometry

Cell: 7.594 7.594 8.746 Å, 124.50 124.50 37.77°
Element x y z (fractional)
1 Rb 0.000 0.000 0.000
2 Rb 0.508 0.508 0.548
3 Pb 0.252 0.252 0.923
4 Pb 0.726 0.726 0.425
5 Pb 0.789 0.789 0.152
6 Au 0.268 0.268 0.614

## Properties
* DFT total energy: -17.156 eV per cell



No. 2
Material: Th6TlAs2P3
Method: DFT, PBE
State: optimized geometry

Cell: 9.509 9.509 8.602 Å, 103.37 103.37 25.44°
Element x y z (fractional)
1 Th 0.001 0.001 0.227
2 Th 0.325 0.325 0.422
3 Th 0.336 0.336 0.911
4 Th 0.664 0.664 0.089
5 Th 0.675 0.675 0.578
6 Th 0.999 0.999 0.773
7 Tl 0.500 0.500 0.500
8 As 0.168 0.168 0.834
9 As 0.832 0.832 0.166
10 P 0.165 0.165 0.331
11 P 0.500 0.500 0.000
12 P 0.835 0.835 0.669

## Properties
* DFT total energy: -86.860 eV per cell